# 1
Computed, not measured: K2TbHoS4 after structural relaxation at the GGA-PBE level of DFT.

Cell lengths 7.0213, 4.0534, 7.7319 Å; angles 90.00, 107.60, 90.00 degrees
Space group P2/m (No. 10)
One atom of each set of equivalent atoms:
K 0.0000 0.0000 0.0000 x1
K 0.5000 0.5000 0.0000 x1
Tb 0.0000 0.5000 0.5000 x1
Ho 0.5000 0.0000 0.5000 x1
S 0.2358 0.0000 0.7020 x2
S 0.2684 0.5000 0.2988 x2

formation energy (no corrections): -1889 meV/atom

# 2
Computed, not measured: LiHoLu2 after structural relaxation at the GGA-PBE level of DFT.

Cell lengths 7.6095, 7.6095, 7.6095 Å; angles 90.00, 90.00, 90.00 degrees
Space group Fm-3m (No. 225)
One atom of each set of equivalent atoms:
Li 0.0000 0.0000 0.0000 x4
Ho 0.0000 0.0000 0.5000 x4
Lu 0.2500 0.2500 0.2500 x8

energy relative to the elements: 0.77 eV per formula unit

# 3
Computed, not measured: UBRh3 after structural relaxation at the GGA-PBE level of DFT.

Cell lengths 4.2293, 4.2293, 4.2293 Å; angles 90.00, 90.00, 90.00 degrees
Space group Pm-3m (No. 221)
One atom of each set of equivalent atoms:
U 0.0000 0.0000 0.0000 x1
B 0.5000 0.5000 0.5000 x1
Rh 0.0000 0.5000 0.5000 x3

energy relative to the elements: -2.70 eV per formula unit

# 4
Computed, not measured: KH3Br after structural relaxation at the GGA-PBE level of DFT.

Cell lengths 4.2792, 4.2792, 4.2792 Å; angles 90.00, 90.00, 90.00 degrees
Space group Pm-3m (No. 221)
One atom of each set of equivalent atoms:
K 0.0000 0.0000 0.0000 x1
H 0.0000 0.5000 0.5000 x3
Br 0.5000 0.5000 0.5000 x1

total DFT energy (no corrections): -10.43 eV per cell

# 5
Computed, not measured: ThGa5Co2Ni after structural relaxation at the GGA-PBE level of DFT.

Cell lengths 4.5854, 4.5854, 7.2085 Å; angles 90.00, 90.00, 90.00 degrees
Space group P4/mmm (No. 123)
One atom of each set of equivalent atoms:
Th 0.0000 0.0000 0.0000 x1
Ga 0.0000 0.5000 0.3170 x4
Ga 0.5000 0.5000 0.0000 x1
Co 0.5000 0.5000 0.3079 x2
Ni 0.0000 0.0000 0.5000 x1

energy relative to the elements: -1.38 eV per formula unit

# 6
Computed, not measured: MnZn2Cd after structural relaxation at the GGA-PBE level of DFT.

Cell lengths 2.9032, 2.9032, 7.6254 Å; angles 90.00, 90.00, 90.00 degrees
Space group P4/mmm (No. 123)
One atom of each set of equivalent atoms:
Mn 0.0000 0.0000 0.0000 x1
Zn 0.5000 0.5000 0.2170 x2
Cd 0.0000 0.0000 0.5000 x1

energy relative to the elements: 0.31 eV per formula unit

# 7
Computed, not measured: KMgUSe3 after structural relaxation at the GGA-PBE level of DFT.

Cell lengths 9.1459, 4.2513, 10.0963 Å; angles 90.00, 107.05, 90.00 degrees
Space group P2_1/m (No. 11)
One atom of each set of equivalent atoms:
K 0.2014 0.2500 0.2242 x2
Mg 0.0870 0.2500 0.6097 x2
U 0.3363 0.7500 0.8641 x2
Se 0.1124 0.2500 0.8665 x2
Se 0.2052 0.7500 0.5372 x2
Se 0.4579 0.7500 0.1605 x2

formation energy (no corrections): -1180 meV/atom

# 8
Computed, not measured: BaTaTe2 after structural relaxation at the GGA-PBE level of DFT.

Cell lengths 3.9016, 3.9016, 31.5136 Å; angles 90.00, 90.00, 120.00 degrees
Space group R-3m (No. 166, hexagonal axes)
One atom of each set of equivalent atoms:
Ba 0.0000 0.0000 0.0000 x3
Ta 0.0000 0.0000 0.5000 x3
Te 0.0000 0.0000 0.1118 x6

formation energy (no corrections): -227 meV/atom

# 9
Computed, not measured: CoReP2Cl after structural relaxation at the GGA-PBE level of DFT.

Cell lengths 4.5337, 4.5337, 5.1722 Å; angles 90.00, 90.00, 90.00 degrees
Space group P4/mmm (No. 123)
One atom of each set of equivalent atoms:
Co 0.0000 0.0000 0.0000 x1
Re 0.5000 0.5000 0.5000 x1
P 0.0000 0.5000 0.5000 x2
Cl 0.5000 0.5000 0.0000 x1

formation energy (no corrections): 914 meV/atom

# 10
Computed, not measured: RbTl2W after structural relaxation at the GGA-PBE level of DFT.

Cell lengths 7.6936, 7.6936, 7.6936 Å; angles 90.00, 90.00, 90.00 degrees
Space group Fm-3m (No. 225)
One atom of each set of equivalent atoms:
Rb 0.0000 0.0000 0.0000 x4
Tl 0.2500 0.2500 0.2500 x8
W 0.0000 0.0000 0.5000 x4

energy relative to the elements: 4.89 eV per formula unit

# 11
Computed, not measured: Be2AgPd3 after structural relaxation at the GGA-PBE level of DFT.

Cell lengths 2.8154, 2.8154, 9.9061 Å; angles 90.00, 90.00, 90.00 degrees
Space group P4/mmm (No. 123)
One atom of each set of equivalent atoms:
Be 0.0000 0.0000 0.1511 x2
Ag 0.0000 0.0000 0.5000 x1
Pd 0.5000 0.5000 0.0000 x1
Pd 0.5000 0.5000 0.2846 x2

energy relative to the elements: -2.74 eV per formula unit

# 12
Computed, not measured: Pm7Ir2Pd2 after structural relaxation at the GGA-PBE level of DFT.

Cell lengths 8.2506, 10.9149, 7.0674 Å; angles 90.00, 90.00, 90.00 degrees
Space group Cmmm (No. 65)
One atom of each set of equivalent atoms:
Pm 0.0000 0.0000 0.0000 x2
Pm 0.0000 0.5000 0.2542 x4
Pm 0.2500 0.2500 0.2610 x8
Ir 0.0000 0.2851 0.0000 x4
Pd 0.2001 0.0000 0.5000 x4

energy relative to the elements: -5.02 eV per formula unit

# 13
Computed, not measured: KGaC after structural relaxation at the GGA-PBE level of DFT.

Cell lengths 6.6528, 4.7339, 4.6596 Å; angles 90.00, 90.00, 90.00 degrees
Space group Pmma (No. 51)
One atom of each set of equivalent atoms:
K 0.2500 0.0000 0.0604 x2
Ga 0.0000 0.5000 0.5000 x2
C 0.2500 0.5000 0.6707 x2

energy relative to the elements: 2.10 eV per formula unit

# 14
Computed, not measured: Cs2TmAg2Cl6 after structural relaxation at the GGA-PBE level of DFT.

Cell lengths 13.3688, 7.6981, 8.8298 Å; angles 90.00, 122.46, 90.00 degrees
Space group C2/m (No. 12)
One atom of each set of equivalent atoms:
Cs 0.2101 0.0000 0.1816 x4
Tm 0.0000 0.0000 0.5000 x2
Ag 0.0484 0.5000 0.1803 x4
Cl 0.0545 0.2329 0.7493 x8
Cl 0.2194 0.0000 0.5829 x4

formation energy (no corrections): -1514 meV/atom

# 15
Computed, not measured: Tb9CeEr2 after structural relaxation at the GGA-PBE level of DFT.

Cell lengths 5.0179, 5.0179, 15.0627 Å; angles 90.00, 90.00, 90.00 degrees
Space group P4/mmm (No. 123)
One atom of each set of equivalent atoms:
Tb 0.0000 0.0000 0.0000 x1
Tb 0.0000 0.0000 0.3351 x2
Tb 0.0000 0.5000 0.1660 x4
Tb 0.0000 0.5000 0.5000 x2
Ce 0.5000 0.5000 0.0000 x1
Er 0.5000 0.5000 0.3330 x2

energy relative to the elements: 0.43 eV per formula unit

# 16
Computed, not measured: Ho3Ni8Pd after structural relaxation at the GGA-PBE level of DFT.

Cell lengths 4.9759, 4.9759, 24.4095 Å; angles 90.00, 90.00, 120.00 degrees
Space group R3m (No. 160, hexagonal axes)
One atom of each set of equivalent atoms:
Ho 0.0000 0.0000 0.0000 x3
Ho 0.0000 0.0000 0.1308 x3
Ho 0.0000 0.0000 0.5188 x3
Ni 0.0000 0.0000 0.3205 x3
Ni 0.0000 0.0000 0.8201 x3
Ni 0.9997 0.4998 0.0699 x9
Ni 0.1685 0.3371 0.9033 x9
Pd 0.0000 0.0000 0.6379 x3

energy relative to the elements: -5.35 eV per formula unit

# 17
Computed, not measured: Fe2Ir after structural relaxation at the GGA-PBE level of DFT.

Cell lengths 4.2689, 4.2689, 5.0380 Å; angles 90.00, 90.00, 120.00 degrees
Space group P6_3/mmc (No. 194)
One atom of each set of equivalent atoms:
Fe 0.0000 0.0000 0.0000 x2
Fe 0.3333 0.6667 0.2500 x2
Ir 0.3333 0.6667 0.7500 x2

energy relative to the elements: 0.47 eV per formula unit

# 18
Computed, not measured: Fe2PbBr after structural relaxation at the GGA-PBE level of DFT.

Cell lengths 3.6062, 3.6062, 6.5248 Å; angles 90.00, 90.00, 90.00 degrees
Space group P4/mmm (No. 123)
One atom of each set of equivalent atoms:
Fe 0.0000 0.0000 0.1814 x2
Pb 0.5000 0.5000 0.0000 x1
Br 0.5000 0.5000 0.5000 x1

formation energy (no corrections): 651 meV/atom

# 19
Computed, not measured: Ba2LiSbH after structural relaxation at the GGA-PBE level of DFT.

Cell lengths 7.2030, 4.7393, 9.2661 Å; angles 90.00, 108.41, 90.00 degrees
Space group P2_1/m (No. 11)
One atom of each set of equivalent atoms:
Ba 0.1890 0.2500 0.3979 x2
Ba 0.2222 0.2500 0.9549 x2
Li 0.4450 0.7500 0.2512 x2
Sb 0.3472 0.7500 0.7035 x2
H 0.1744 0.7500 0.1853 x2

total DFT energy (no corrections): -32.99 eV per cell

# 20
Computed, not measured: LiCa2InPt after structural relaxation at the GGA-PBE level of DFT.

Cell lengths 5.5489, 5.5489, 5.2048 Å; angles 90.00, 90.00, 90.00 degrees
Space group P4/mmm (No. 123)
One atom of each set of equivalent atoms:
Li 0.0000 0.0000 0.0000 x1
Ca 0.0000 0.5000 0.5000 x2
In 0.5000 0.5000 0.0000 x1
Pt 0.5000 0.5000 0.5000 x1

energy relative to the elements: -2.00 eV per formula unit

# 21
Computed, not measured: Ac6CoOs2Br3 after structural relaxation at the GGA-PBE level of DFT.

Cell lengths 7.4537, 12.9137, 8.6007 Å; angles 90.00, 106.80, 90.00 degrees
Space group C2/m (No. 12)
One atom of each set of equivalent atoms:
Ac 0.2306 0.1661 0.1936 x8
Ac 0.2324 0.5000 0.1937 x4
Co 0.0000 0.0000 0.0000 x2
Os 0.0000 0.3335 0.0000 x4
Br 0.0000 0.1684 0.5000 x4
Br 0.0000 0.5000 0.5000 x2

formation energy (no corrections): -719 meV/atom

# 22
Computed, not measured: SrScOs2 after structural relaxation at the GGA-PBE level of DFT.

Cell lengths 8.8050, 3.0506, 6.4777 Å; angles 90.00, 97.71, 90.00 degrees
Space group C2/m (No. 12)
One atom of each set of equivalent atoms:
Sr 0.0000 0.0000 0.0000 x2
Sc 0.0000 0.5000 0.5000 x2
Os 0.2394 0.0000 0.6675 x4

energy relative to the elements: 1.86 eV per formula unit

# 23
Computed, not measured: La3NdO4 after structural relaxation at the GGA-PBE level of DFT.

Cell lengths 5.1338, 5.1338, 5.1338 Å; angles 90.00, 90.00, 90.00 degrees
Space group Pm-3m (No. 221)
One atom of each set of equivalent atoms:
La 0.0000 0.0000 0.5000 x3
Nd 0.5000 0.5000 0.5000 x1
O 0.0000 0.0000 0.0000 x1
O 0.0000 0.5000 0.5000 x3

formation energy (no corrections): -2812 meV/atom

# 24
Computed, not measured: GaMo2C after structural relaxation at the GGA-PBE level of DFT.

Cell lengths 10.3288, 3.0499, 6.8923 Å; angles 90.00, 96.22, 90.00 degrees
Space group C2/m (No. 12)
One atom of each set of equivalent atoms:
Ga 0.2270 0.0000 0.1688 x4
Mo 0.0464 0.0000 0.8143 x4
Mo 0.1338 0.5000 0.4567 x4
C 0.0000 0.0000 0.5000 x2
C 0.0000 0.5000 0.0000 x2

energy relative to the elements: -0.04 eV per formula unit

# 25
Computed, not measured: Sr2GaIrSe after structural relaxation at the GGA-PBE level of DFT.

Cell lengths 5.7265, 5.7265, 4.7331 Å; angles 90.00, 90.00, 90.00 degrees
Space group P4/mmm (No. 123)
One atom of each set of equivalent atoms:
Sr 0.0000 0.5000 0.0000 x2
Ga 0.0000 0.0000 0.5000 x1
Ir 0.0000 0.0000 0.0000 x1
Se 0.5000 0.5000 0.5000 x1

formation energy (no corrections): -699 meV/atom

Number 1: volume 210 Å³ per cell, spin magnetization 0.0 μB per formula unit. Number 2: volume 441 Å³ per cell, spin magnetization 0.0 μB per formula unit. Number 3: volume 76 Å³ per cell, spin magnetization 2.0 μB per formula unit. Number 4: volume 78 Å³ per cell, spin magnetization 0.0 μB per formula unit. Number 5: volume 152 Å³ per cell, spin magnetization 0.0 μB per formula unit. Number 6: volume 64 Å³ per cell, spin magnetization 3.0 μB per formula unit. Number 7: volume 375 Å³ per cell, spin magnetization 3.0 μB per formula unit. Number 8: volume 415 Å³ per cell, spin magnetization 0.0 μB per formula unit. Number 9: volume 106 Å³ per cell, spin magnetization 2.3 μB per formula unit. Number 10: volume 455 Å³ per cell, spin magnetization 3.3 μB per formula unit. Number 11: volume 79 Å³ per cell, spin magnetization 0.0 μB per formula unit. Number 12: volume 636 Å³ per cell, spin magnetization 0.0 μB per formula unit. Number 13: volume 147 Å³ per cell, spin magnetization 0.0 μB per formula unit. Number 14: volume 767 Å³ per cell, spin magnetization 1.0 μB per formula unit. Number 15: volume 379 Å³ per cell, spin magnetization 0.9 μB per formula unit. Number 16: volume 523 Å³ per cell, spin magnetization 0.0 μB per formula unit. Number 17: volume 80 Å³ per cell, spin magnetization 5.8 μB per formula unit. Number 18: volume 85 Å³ per cell, spin magnetization 5.4 μB per formula unit. Number 19: volume 300 Å³ per cell, spin magnetization 0.9 μB per formula unit. Number 20: volume 160 Å³ per cell, spin magnetization 0.0 μB per formula unit. Number 21: volume 793 Å³ per cell, spin magnetization 0.0 μB per formula unit. Number 22: volume 172 Å³ per cell, spin magnetization 0.0 μB per formula unit. Number 23: volume 135 Å³ per cell, spin magnetization 0.0 μB per formula unit. Number 24: volume 216 Å³ per cell, spin magnetization 0.0 μB per formula unit. Number 25: volume 155 Å³ per cell, spin magnetization 0.0 μB per formula unit.